# SrHg4Au

A PBEsol-optimized structure of SrHg4Au (meta-GGA SCAN, Alexandria via LeMat-Bulk).

Results
V = 144.49 Å³/f.u.
Symmetry = No. 216
Calculated total energy = -4.478 Ry per atom

a b c (Å): 5.890 5.890 5.890
angles (deg): 60.00 60.00 60.00
Element x y z (fractional)
Sr1 0.000 0.000 0.000
Hg1 0.127 0.624 0.624
Hg2 0.624 0.127 0.624
Hg3 0.624 0.624 0.127
Hg4 0.624 0.624 0.624
Au1 0.250 0.250 0.250



# SrHg2Au

A PBEsol-optimized structure of SrHg2Au (meta-GGA SCAN, Alexandria via LeMat-Bulk).

Results
V = 95.50 Å³/f.u.
Symmetry = No. 139
Calculated total energy = -4.223 Ry per atom

a b c (Å): 5.533 5.533 5.533
angles (deg): 130.58 130.58 72.47
Element x y z (fractional)
Sr1 0.000 0.000 0.000
Hg1 0.250 0.750 0.500
Hg2 0.750 0.250 0.500
Au1 0.500 0.500 0.000



# SrHgAu2

A PBEsol-optimized structure of SrHgAu2 (meta-GGA SCAN, Alexandria via LeMat-Bulk).

Results
V = 96.03 Å³/f.u.
Symmetry = No. 38
Calculated total energy = -4.245 Ry per atom

a b c (Å): 4.365 5.802 5.802
angles (deg): 40.81 90.00 90.00
Element x y z (fractional)
Sr1 0.000 0.000 0.000
Hg1 0.500 0.305 0.305
Au1 0.000 0.729 0.729
Au2 0.500 0.578 0.578



# SrHgAu2

A PBEsol-optimized structure of SrHgAu2 (meta-GGA SCAN, Alexandria via LeMat-Bulk).

Results
V = 89.19 Å³/f.u.
Symmetry = No. 119
Calculated total energy = -4.242 Ry per atom

a b c (Å): 5.306 5.306 5.306
angles (deg): 128.41 128.41 75.96
Element x y z (fractional)
Sr1 0.000 0.000 0.000
Hg1 0.750 0.250 0.500
Au1 0.250 0.750 0.500
Au2 0.500 0.500 0.000



# Sr2HgAu

A PBEsol-optimized structure of Sr2HgAu (meta-GGA SCAN, Alexandria via LeMat-Bulk).

Results
V = 131.44 Å³/f.u.
Symmetry = No. 166
Calculated total energy = -3.396 Ry per atom

a b c (Å): 8.060 8.060 8.060
angles (deg): 32.10 32.10 32.10
Element x y z (fractional)
Sr1 0.242 0.242 0.242
Sr2 0.758 0.758 0.758
Hg1 0.000 0.000 0.000
Au1 0.500 0.500 0.500



# SrHgAu2

A PBEsol-optimized structure of SrHgAu2 (meta-GGA SCAN, Alexandria via LeMat-Bulk).

Results
V = 96.99 Å³/f.u.
Symmetry = No. 160
Calculated total energy = -4.248 Ry per atom

a b c (Å): 5.695 5.695 5.695
angles (deg): 49.12 49.12 49.12
Element x y z (fractional)
Sr1 0.000 0.000 0.000
Hg1 0.787 0.787 0.787
Au1 0.215 0.215 0.215
Au2 0.532 0.532 0.532



# SrHgAu

A PBEsol-optimized structure of SrHgAu (meta-GGA SCAN, Alexandria via LeMat-Bulk).

Results
V = 73.84 Å³/f.u.
Symmetry = No. 107
Calculated total energy = -3.959 Ry per atom

a b c (Å): 5.719 5.719 5.719
angles (deg): 140.89 140.89 56.51
Element x y z (fractional)
Sr1 0.000 0.000 0.000
Hg1 0.314 0.314 0.000
Au1 0.675 0.675 0.000



# SrHg2Au

A PBEsol-optimized structure of SrHg2Au (meta-GGA SCAN, Alexandria via LeMat-Bulk).

Results
V = 95.79 Å³/f.u.
Symmetry = No. 216
Calculated total energy = -4.224 Ry per atom

a b c (Å): 5.136 5.136 5.136
angles (deg): 60.00 60.00 60.00
Element x y z (fractional)
Sr1 0.000 0.000 0.000
Hg1 0.500 0.500 0.500
Hg2 0.750 0.750 0.750
Au1 0.250 0.250 0.250



# SrHgAu

A PBEsol-optimized structure of SrHgAu (meta-GGA SCAN, Alexandria via LeMat-Bulk).

Results
V = 77.95 Å³/f.u.
Symmetry = No. 187
Calculated total energy = -3.966 Ry per atom

a b c (Å): 4.827 4.827 3.863
angles (deg): 90.00 90.00 120.00
Element x y z (fractional)
Sr1 0.000 0.000 0.000
Hg1 0.667 0.333 0.500
Au1 0.333 0.667 0.500



# SrHg2Au

A PBEsol-optimized structure of SrHg2Au (meta-GGA SCAN, Alexandria via LeMat-Bulk).

Results
V = 93.63 Å³/f.u.
Symmetry = No. 225
Calculated total energy = -4.221 Ry per atom

a b c (Å): 5.097 5.097 5.097
angles (deg): 60.00 60.00 60.00
Element x y z (fractional)
Sr1 0.000 0.000 0.000
Hg1 0.250 0.250 0.250
Hg2 0.750 0.750 0.750
Au1 0.500 0.500 0.500



# Sr2HgAu

A PBEsol-optimized structure of Sr2HgAu (meta-GGA SCAN, Alexandria via LeMat-Bulk).

Results
V = 112.83 Å³/f.u.
Symmetry = No. 123
Calculated total energy = -3.399 Ry per atom

a b c (Å): 3.825 3.825 7.711
angles (deg): 90.00 90.00 90.00
Element x y z (fractional)
Sr1 0.000 0.000 0.239
Sr2 0.000 0.000 0.761
Hg1 0.500 0.500 0.500
Au1 0.500 0.500 0.000



# SrHg2Au

A PBEsol-optimized structure of SrHg2Au (meta-GGA SCAN, Alexandria via LeMat-Bulk).

Results
V = 97.81 Å³/f.u.
Symmetry = No. 99
Calculated total energy = -4.223 Ry per atom

a b c (Å): 3.765 3.765 6.901
angles (deg): 90.00 90.00 90.00
Element x y z (fractional)
Sr1 0.000 0.000 0.000
Hg1 0.000 0.000 0.471
Hg2 0.500 0.500 0.701
Au1 0.500 0.500 0.256



Look up the V of the third one. 96.03 Å³/f.u.



What is the formula in the seventh record? SrHgAu



What did the twelfth record say?
# SrHg2Au

A PBEsol-optimized structure of SrHg2Au (meta-GGA SCAN, Alexandria via LeMat-Bulk).

Results
V = 97.81 Å³/f.u.
Symmetry = No. 99
Calculated total energy = -4.223 Ry per atom

a b c (Å): 3.765 3.765 6.901
angles (deg): 90.00 90.00 90.00
Element x y z (fractional)
Sr1 0.000 0.000 0.000
Hg1 0.000 0.000 0.471
Hg2 0.500 0.500 0.701
Au1 0.500 0.500 0.256